! VAsSe2F (PBE with a Hubbard U, optimized geometry); values from VASP
&SYSTEM
  ibrav = 0, nat = 5, ntyp = 4
/
ATOMIC_SPECIES
V 50.94 V.upf
As 74.92 As.upf
Se 78.96 Se.upf
F 19.00 F.upf
CELL_PARAMETERS angstrom
4.693 0.000 0.000
0.000 4.693 0.000
0.000 0.000 4.796
ATOMIC_POSITIONS crystal
V 0.000 0.000 0.000
As 0.000 0.000 0.500
Se 0.000 0.500 0.000
Se 0.500 0.000 0.000
F 0.500 0.500 0.500
! symmetry = P4/mmm
! total magnetization = 0.00 μB/f.u.
! relative energy among the computed polymorphs = 0 meV/atom
! D(E_F) = 0.664 states/eV per atom